Sr3Cd8Au3 | GGA-PBE | optimized geometry

Cell lengths 17.4994, 4.8938, 10.0358 Å; angles 90.00, 124.16, 90.00 degrees
Last column: nearest neighbours and their distance in Å.
Space group C2/m (No. 12)
One atom of each set of equivalent atoms:
Sr: 0.0000 0.0000 0.0000 x2  8 Cd 3.50-3.66, 4 Au 3.61
Sr: 0.2118 0.5000 0.7016 x4  3 Au 3.36-3.63, 10 Cd 3.37-3.75
Cd: 0.0001 0.5000 0.3274 x4  3 Au 2.91-3.00, 5 Cd 3.00-3.19
Cd: 0.1330 0.0000 0.8391 x4  1 Au 2.85, 5 Cd 2.91-3.14
Cd: 0.1388 0.0000 0.4252 x4  4 Au 2.87-3.09, 2 Cd 3.19
Cd: 0.1613 0.5000 0.0187 x4  1 Au 2.83, 4 Cd 2.91-3.04
Au: 0.0000 0.0000 0.5000 x2  8 Cd 2.85-3.00
Au: 0.1548 0.5000 0.2937 x4  5 Cd 2.83-3.09

Tb4Sb3H2 | GGA-PBE | optimized geometry

Cell lengths 12.2329, 9.8415, 7.3337 Å; angles 90.00, 100.82, 90.00 degrees
Last column: nearest neighbours and their distance in Å.
Space group C2/c (No. 15)
One atom of each set of equivalent atoms:
Tb: 0.1060 0.1805 0.0127 x8  2 H 2.30-2.40
Tb: 0.1682 0.4363 0.6139 x8  2 H 2.40
Sb: 0.0000 0.3819 0.2500 x4  6 Tb 3.03-3.09
Sb: 0.1490 0.1195 0.6250 x8  6 Tb 3.05-3.21, 2 H 3.17-3.31
H: 0.1987 0.3685 0.9334 x8  4 Tb 2.30-2.40

SrCaLaTm | GGA-PBE | optimized geometry

Cell lengths 8.5685, 8.5685, 8.5685 Å; angles 90.00, 90.00, 90.00 degrees
Last column: nearest neighbours and their distance in Å.
Space group F-43m (No. 216)
One atom of each set of equivalent atoms:
Sr: 0.0000 0.0000 0.0000 x4  4 Ca 3.71, 4 Tm 3.71
Ca: 0.2500 0.2500 0.2500 x4  4 La 3.71, 4 Sr 3.71
La: 0.0000 0.0000 0.5000 x4  4 Ca 3.71, 4 Tm 3.71
Tm: 0.2500 0.2500 0.7500 x4  4 La 3.71, 4 Sr 3.71

Nd4Hg2Au | GGA-PBE | optimized geometry

Cell lengths 5.3105, 5.3105, 26.0892 Å; angles 90.00, 90.00, 120.00 degrees
Last column: nearest neighbours and their distance in Å.
Space group R-3m (No. 166, hexagonal axes)
One atom of each set of equivalent atoms:
Nd: 0.0000 0.0000 0.1231 x6  4 Hg 3.17-3.19, 1 Au 3.21
Nd: 0.0000 0.0000 0.3737 x6  3 Au 3.24, 4 Hg 3.32-3.36
Hg: 0.0000 0.0000 0.2447 x6  8 Nd 3.17-3.36
Au: 0.0000 0.0000 0.0000 x3  8 Nd 3.21-3.24

Na6HgPd2 | GGA-PBE | optimized geometry

Cell lengths 5.0698, 5.0698, 30.7707 Å; angles 90.00, 90.00, 120.00 degrees
Last column: nearest neighbours and their distance in Å.
Space group R-3m (No. 166, hexagonal axes)
One atom of each set of equivalent atoms:
Na: 0.0000 0.0000 0.0746 x6  3 Pd 2.93
Na: 0.0000 0.0000 0.2064 x6  3 Hg 3.17, 4 Na 3.23-3.34, 3 Pd 3.30
Na: 0.0000 0.0000 0.3113 x6  4 Pd 3.06-3.39, 7 Na 3.23-3.34
Hg: 0.0000 0.0000 0.5000 x3  2 Pd 2.74
Pd: 0.0000 0.0000 0.4109 x6  1 Hg 2.74, 4 Na 2.93-3.06

Na2SrHgMo | GGA-PBE | optimized geometry

Cell lengths 6.4443, 6.4443, 5.9995 Å; angles 90.00, 90.00, 90.00 degrees
Last column: nearest neighbours and their distance in Å.
Space group P4/mmm (No. 123)
One atom of each set of equivalent atoms:
Na: 0.0000 0.5000 0.0000 x2  2 Sr 3.22
Sr: 0.0000 0.0000 0.0000 x1  2 Hg 3.00, 4 Na 3.22
Hg: 0.0000 0.0000 0.5000 x1  2 Sr 3.00
Mo: 0.5000 0.5000 0.5000 x1  8 Na 4.40, 4 Hg 4.56

| no. | total DFT energy (no corrections) (Ha/atom) |
| --- | --- |
| 1 | -0.0730 |
| 2 | -0.1852 |
| 3 | -0.1135 |
| 4 | -0.1349 |
| 5 | -0.0801 |
| 6 | -0.0613 |